(1)
# Sm5Sn3

Sm5Sn3 after structural relaxation (PBEsol, the Alexandria database).

* Fermi-level density of states: 0.925 states/eV per atom
* E_tot: -0.2027 Ha/atom
* ρ: 7.8 g/cm3

a = 6.6116 Å, b = 9.0506 Å, c = 9.0506 Å
α = 120.00°, β = 90.00°, γ = 90.00°
Atoms (fractional coordinates):
Sn  0.7500  0.6051  0.6051
Sm  0.2500  0.2401  0.0000
Sn  0.7500  0.3949  0.0000
Sm  0.7500  0.0000  0.7599
Sm  0.7500  0.2401  0.2401
Sn  0.2500  0.6051  0.0000
Sm  0.7500  0.7599  0.0000
Sm  0.5000  0.6667  0.3333
Sn  0.2500  0.3949  0.3949
Sm  0.0000  0.3333  0.6667
Sm  0.2500  0.7599  0.7599
Sm  0.2500  0.0000  0.2401
Sm  0.0000  0.6667  0.3333
Sn  0.2500  0.0000  0.6051
Sn  0.7500  0.0000  0.3949
Sm  0.5000  0.3333  0.6667

=====

(2)
# Mg4Zn3

Mg4Zn3 after structural relaxation (PBEsol, the Alexandria database).

* Fermi-level density of states: 0.351 states/eV per atom
* ρ: 3.8 g/cm3
* excess energy over the best structure of this formula in the dataset: 45 meV/atom

a = 3.0784 Å, b = 3.0784 Å, c = 13.7047 Å
α = 96.45°, β = 96.45°, γ = 90.00°
Atoms (fractional coordinates):
Mg  0.5676  0.5676  0.1351
Mg  0.8453  0.8453  0.6905
Zn  0.0000  0.0000  0.0000
Mg  0.4324  0.4324  0.8649
Zn  0.2772  0.2772  0.5543
Mg  0.1547  0.1547  0.3095
Zn  0.7228  0.7228  0.4457

=====

(3)
# ReRh2W

ReRh2W after structural relaxation (PBEsol, the Alexandria database).

* Fermi-level density of states: 0.738 states/eV per atom
* ρ: 16.9 g/cm3
* excess energy over the best structure of this formula in the dataset: 56 meV/atom

a = 3.8122 Å, b = 3.8122 Å, c = 3.8978 Å
α = 90.00°, β = 90.00°, γ = 90.00°
Atoms (fractional coordinates):
Rh  0.0000  0.5000  0.0000
W  0.5000  0.5000  0.5000
Re  0.0000  0.0000  0.5000
Rh  0.5000  0.0000  0.0000

=====

(4)
# In4SiPb

In4SiPb after structural relaxation (PBEsol, the Alexandria database).

* Fermi-level density of states: 0.423 states/eV per atom
* energy relative to the elements, uncorrected: 345.3 meV per atom
* ρ: 7.5 g/cm3

a = 6.0087 Å, b = 6.0087 Å, c = 6.0087 Å
α = 60.00°, β = 60.00°, γ = 60.00°
Atoms (fractional coordinates):
In  0.3747  0.3747  0.8759
In  0.3747  0.3747  0.3747
Pb  0.7500  0.7500  0.7500
In  0.8759  0.3747  0.3747
In  0.3747  0.8759  0.3747
Si  0.0000  0.0000  0.0000

=====

(5)
# TaAsRu

TaAsRu after structural relaxation (PBEsol, the Alexandria database).

* Fermi-level density of states: 0.241 states/eV per atom
* E_tot: -0.3556 Ha/atom
* ρ: 13.2 g/cm3

a = 2.9075 Å, b = 4.2278 Å, c = 4.2278 Å
α = 120.00°, β = 90.00°, γ = 90.00°
Atoms (fractional coordinates):
Ta  0.5000  0.6667  0.3333
As  0.0000  0.0000  0.0000
Ru  0.0000  0.3333  0.6667

=====

(6)
# BaCa3Pt

BaCa3Pt after structural relaxation (PBEsol, the Alexandria database).

* Fermi-level density of states: 0.772 states/eV per atom
* ρ: 4.1 g/cm3
* excess energy over the best structure of this formula in the dataset: 7 meV/atom

a = 5.6755 Å, b = 5.6755 Å, c = 5.6755 Å
α = 90.00°, β = 90.00°, γ = 90.00°
Atoms (fractional coordinates):
Pt  0.0000  0.0000  0.0000
Ca  0.0000  0.5000  0.0000
Ca  0.0000  0.0000  0.5000
Ca  0.5000  0.0000  0.0000
Ba  0.5000  0.5000  0.5000

=====

(7)
# Pr2Mo4O15

Pr2Mo4O15 after structural relaxation (PBEsol, the Alexandria database).

* Fermi-level density of states: 0.000 states/eV per atom
* energy relative to the elements, uncorrected: -2396.9 meV per atom
* ρ: 4.7 g/cm3

a = 7.2657 Å, b = 7.5082 Å, c = 11.9596 Å
α = 88.76°, β = 82.00°, γ = 85.15°
Atoms (fractional coordinates):
Mo  0.7698  0.0826  0.8739
Mo  0.2819  0.4185  0.8730
Mo  0.7181  0.5815  0.1270
O  0.0866  0.4943  0.4038
O  0.6297  0.9602  0.4091
O  0.3313  0.7243  0.4597
Pr  0.2295  0.4000  0.2200
O  0.2880  0.3860  0.0175
Mo  0.0912  0.6664  0.5393
O  0.9941  0.9926  0.1523
Pr  0.6774  0.0970  0.2236
Mo  0.4309  0.2392  0.5193
O  0.1107  0.7472  0.6751
Pr  0.3226  0.9030  0.7764
O  0.9510  0.8279  0.4867
O  0.9452  0.5050  0.1472
O  0.3464  0.2125  0.8067
O  0.5679  0.4096  0.1803
O  0.5904  0.7458  0.6262
O  0.0548  0.4950  0.8528
O  0.8893  0.2528  0.3249
O  0.7120  0.6140  0.9825
O  0.7037  0.1033  0.0193
Mo  0.2302  0.9174  0.1261
O  0.7317  0.2928  0.8098
O  0.6687  0.2757  0.5403
O  0.0059  0.0074  0.8477
O  0.2963  0.8967  0.9807
O  0.2954  0.4199  0.5827
O  0.2683  0.7072  0.1902
O  0.3703  0.0398  0.5909
O  0.6536  0.7875  0.1933
O  0.4096  0.2542  0.3738
O  0.7046  0.5801  0.4173
O  0.4321  0.5904  0.8197
O  0.9134  0.5057  0.5962
O  0.3531  0.0863  0.1827
Pr  0.7705  0.6000  0.7800
O  0.0490  0.1721  0.5133
Mo  0.9088  0.3336  0.4607
Mo  0.5691  0.7608  0.4807
O  0.6469  0.9137  0.8173

=====

(8)
# Zr5Ti7O24

Zr5Ti7O24 after structural relaxation (PBEsol, the Alexandria database).

* Fermi-level density of states: 0.000 states/eV per atom
* energy relative to the elements, uncorrected: -3207.5 meV per atom
* ρ: 5.1 g/cm3
* excess energy over the best structure of this formula in the dataset: 15 meV/atom

a = 4.8398 Å, b = 5.3721 Å, c = 14.8433 Å
α = 90.00°, β = 92.93°, γ = 90.00°
Atoms (fractional coordinates):
O  0.3538  0.6159  0.2708
O  0.2920  0.9231  0.1018
O  0.1825  0.8943  0.7816
Ti  0.9656  0.2022  0.8270
Zr  0.9719  0.7664  0.6650
O  0.8032  0.4102  0.2381
Ti  0.4708  0.7038  0.8355
O  0.7080  0.9231  0.8982
O  0.2785  0.5981  0.9368
O  0.7521  0.9013  0.5525
O  0.7215  0.5981  0.0632
O  0.2736  0.4123  0.1106
O  0.7671  0.5607  0.4135
O  0.2704  0.1038  0.2744
O  0.2150  0.0835  0.6156
O  0.2876  0.4078  0.4226
O  0.7264  0.4123  0.8894
O  0.8178  0.1128  0.0671
Ti  0.5292  0.7038  0.1645
Ti  0.5359  0.3093  0.3303
Ti  0.0344  0.2022  0.1730
Zr  0.0000  0.2240  0.5000
O  0.7296  0.1038  0.7256
Ti  0.4641  0.3093  0.6697
O  0.7850  0.0835  0.3844
O  0.8175  0.8943  0.2184
O  0.1968  0.4102  0.7619
Zr  0.0000  0.8036  0.0000
O  0.1822  0.1128  0.9329
Zr  0.5000  0.2870  0.0000
O  0.7124  0.4078  0.5774
O  0.6462  0.6159  0.7292
Zr  0.0281  0.7664  0.3350
O  0.2329  0.5607  0.5865
Ti  0.5000  0.6743  0.5000
O  0.2479  0.9013  0.4475

=====

(9)
# La2NdMn6Si6

La2NdMn6Si6 after structural relaxation (PBEsol, the Alexandria database).

* Fermi-level density of states: 0.597 states/eV per atom
* energy relative to the elements, uncorrected: -548.1 meV per atom
* ρ: 6.3 g/cm3

a = 3.9473 Å, b = 3.9473 Å, c = 15.9034 Å
α = 97.13°, β = 97.13°, γ = 90.00°
Atoms (fractional coordinates):
Si  0.8770  0.8770  0.7540
Si  0.7908  0.7908  0.5815
La  0.3341  0.3341  0.6682
Si  0.2092  0.2092  0.4185
Mn  0.9179  0.4179  0.8358
Mn  0.2500  0.7500  0.5000
Mn  0.0821  0.5821  0.1642
La  0.6659  0.6659  0.3318
Mn  0.4179  0.9179  0.8358
Nd  0.0000  0.0000  0.0000
Mn  0.7500  0.2500  0.5000
Mn  0.5821  0.0821  0.1642
Si  0.4588  0.4588  0.9176
Si  0.1230  0.1230  0.2460
Si  0.5412  0.5412  0.0824

=====

(10)
# Ta2SbTe

Ta2SbTe after structural relaxation (PBEsol, the Alexandria database).

* Fermi-level density of states: 0.953 states/eV per atom
* energy relative to the elements, uncorrected: 83.4 meV per atom
* ρ: 13.1 g/cm3
* excess energy over the best structure of this formula in the dataset: 85 meV/atom

a = 3.3746 Å, b = 3.3746 Å, c = 6.7822 Å
α = 90.00°, β = 90.00°, γ = 90.00°
Atoms (fractional coordinates):
Ta  0.0000  0.0000  0.7422
Ta  0.0000  0.0000  0.2578
Sb  0.5000  0.5000  0.5000
Te  0.5000  0.5000  0.0000

=====

(11)
# OsClF8

OsClF8 after structural relaxation (PBEsol, the Alexandria database).

* Fermi-level density of states: 0.014 states/eV per atom
* energy relative to the elements, uncorrected: -1306.3 meV per atom
* ρ: 4.2 g/cm3

a = 5.7463 Å, b = 6.6790 Å, c = 7.7517 Å
α = 94.17°, β = 90.00°, γ = 90.00°
Atoms (fractional coordinates):
Os  0.6253  0.2500  0.2500
F  0.3928  0.1902  0.0831
F  0.8577  0.3136  0.4171
F  0.6252  0.5251  0.1885
F  0.9131  0.4229  0.7966
F  0.9131  0.0771  0.7034
F  0.3748  0.0251  0.6885
F  0.6252  0.9749  0.3115
F  0.6072  0.8098  0.9169
F  0.3928  0.3098  0.4169
F  0.0869  0.9229  0.2966
Cl  0.1035  0.2500  0.7500
F  0.6072  0.6902  0.5831
Cl  0.8965  0.7500  0.2500
Os  0.3747  0.7500  0.7500
F  0.3748  0.4749  0.8115
F  0.8577  0.1864  0.0829
F  0.1423  0.8136  0.9171
F  0.0869  0.5771  0.2034
F  0.1423  0.6864  0.5829

=====

(12)
# GdP

GdP after structural relaxation (PBEsol, the Alexandria database).

* Fermi-level density of states: 0.095 states/eV per atom
* E_tot: -0.4314 Ha/atom
* ρ: 6.9 g/cm3

a = 3.9952 Å, b = 3.9952 Å, c = 3.9952 Å
α = 60.00°, β = 60.00°, γ = 60.00°
Atoms (fractional coordinates):
Gd  0.0000  0.0000  0.0000
P  0.5000  0.5000  0.5000